A PBEsol-optimized structure of CuNi2Sb. Source: the Alexandria database, functional SCAN.

```
data_CuNi2Sb
_cell_length_a 3.1764
_cell_length_b 3.1764
_cell_length_c 5.2197
_cell_angle_alpha 90.00
_cell_angle_beta 90.00
_cell_angle_gamma 90.00
_symmetry_space_group_name_H-M 'P 4/m m m'
_symmetry_Int_Tables_number 123
_symmetry_space_group_name_Hall '-P 4 2'
loop_
_atom_site_label
_atom_site_fract_x
_atom_site_fract_y
_atom_site_fract_z
Cu1 0.0000 0.0000 0.0000
Ni1 0.5000 0.5000 0.2378
Sb1 0.0000 0.0000 0.5000
```

Properties
* E_form (uncorrected): 0.41 eV/f.u.